# PBE CaNd3Hg4, relaxed
# Symmetry: P4/mmm
# E_form, eV per atom: -0.506
# Crystal system: tetragonal
data_CaNd3Hg4
_chemical_formula_sum 'Ca2 Nd6 Hg8'
_space_group_name_H-M_alt 'P 1'
_space_group_IT_number 1
_cell_length_a 5.384
_cell_length_b 7.724
_cell_length_c 10.764
_cell_angle_alpha 90.00
_cell_angle_beta 90.00
_cell_angle_gamma 90.00
loop_
_space_group_symop_operation_xyz
'x,y,z'
loop_
_atom_site_label
_atom_site_type_symbol
_atom_site_fract_x
_atom_site_fract_y
_atom_site_fract_z
Ca1 Ca 0.000 0.500 0.000
Ca2 Ca 0.000 0.500 0.500
Nd1 Nd 0.000 0.000 0.000
Nd2 Nd 0.000 0.000 0.500
Nd3 Nd 0.500 0.000 0.750
Nd4 Nd 0.500 0.000 0.250
Nd5 Nd 0.500 0.500 0.750
Nd6 Nd 0.500 0.500 0.250
Hg1 Hg 0.500 0.747 0.000
Hg2 Hg 0.500 0.747 0.500
Hg3 Hg 0.500 0.253 0.000
Hg4 Hg 0.500 0.253 0.500
Hg5 Hg 0.000 0.747 0.750
Hg6 Hg 0.000 0.747 0.250
Hg7 Hg 0.000 0.253 0.250
Hg8 Hg 0.000 0.253 0.750